# CaPm2Th

An optimized crystal structure of CaPm2Th (PBE, the Alexandria database).

Structure (CIF):
```
data_CaPm2Th
_symmetry_space_group_name_H-M 'P 1'
_symmetry_Int_Tables_number 1
_cell_length_a 3.655
_cell_length_b 3.655
_cell_length_c 24.509
_cell_angle_alpha 90.00
_cell_angle_beta 90.00
_cell_angle_gamma 120.00
loop_
_symmetry_equiv_pos_as_xyz
'x,y,z'
loop_
_atom_site_label
_atom_site_type_symbol
_atom_site_fract_x
_atom_site_fract_y
_atom_site_fract_z
_atom_site_occupancy
Ca1 Ca 0.333 0.667 0.250 1
Ca2 Ca 0.667 0.333 0.750 1
Pm1 Pm 0.333 0.667 0.616 1
Pm2 Pm 0.333 0.667 0.884 1
Pm3 Pm 0.667 0.333 0.116 1
Pm4 Pm 0.667 0.333 0.384 1
Th1 Th 0.000 0.000 0.000 1
Th2 Th 0.000 0.000 0.500 1
```

Summary:
* symmetry: P6_3/mmc
* DFT formation energy: 0.05 eV per atom
* excess energy over the best structure of this formula in the dataset: 10 meV/atom